Entry 1:
First-principles (PBEsol) data for a relaxed structure of CaH2F4, as listed in Alexandria.

abc: 5.571 5.730 5.971
angles: 76.89 62.19 60.91
Fractional positions:
F1 0.523 0.863 0.763
F2 0.614 0.863 0.237
F3 0.714 0.137 0.763
F4 0.601 0.363 0.263
F5 0.149 0.137 0.237
F6 0.227 0.637 0.737
F7 0.136 0.637 0.263
F8 0.036 0.363 0.737
H1 0.620 0.000 0.760
H2 0.370 0.500 0.260
H3 0.380 0.000 0.240
H4 0.130 0.500 0.740
Ca1 0.750 0.500 0.500
Ca2 0.000 0.000 0.000

Results
- E (eV per atom) = -5.034


Entry 2:
First-principles (PBEsol) data for a relaxed structure of CaHF2, as listed in Alexandria.

abc: 3.498 3.498 5.893
angles: 72.74 72.74 60.00
Last column: magnetic moment on the atom in μB.
Fractional positions:
F1 0.930 0.930 0.209  0.01
F2 0.070 0.070 0.791  0.01
H1 0.000 0.000 0.000  0.00
Ca1 0.500 0.500 0.500  0.22

Results
- E (eV per atom) = -4.343


Entry 3:
First-principles (PBEsol) data for a relaxed structure of CaHF, as listed in Alexandria.

abc: 3.815 3.815 3.815
angles: 60.00 60.00 60.00
Fractional positions:
H1 0.000 0.000 0.000
Ca1 0.750 0.750 0.750
F1 0.500 0.500 0.500

Results
- E (eV per atom) = -4.704